# 1
A plane-wave DFT calculation with PBE was carried out for a geometry-optimized CsSi2SnF structure.

```
CsSi2SnF
1.0
5.0424 0.0000 0.0000
0.0000 5.0537 0.0000
0.0000 0.0000 5.0424
Cs Si Sn F
1 2 1 1
Cartesian
2.5212 2.5268 2.5212
0.0000 0.0000 2.5212
2.5212 0.0000 0.0000
0.0000 2.5268 0.0000
0.0000 0.0000 0.0000
```

- Energy: -3.165 eV per atom
- Symmetry: P4/mmm, No. 123
- Formation energy without anion corrections: 0.350 eV per atom

---

# 2
A plane-wave DFT calculation with PBE was carried out for a geometry-optimized Cs2SrSiF6 structure.

```
Cs2SrSiF6
1.0
6.5669 0.0000 0.0000
0.0000 6.5669 0.0000
3.2834 3.2834 4.6476
Cs Sr Si F
2 1 1 6
Cartesian
6.5669 3.2834 2.3238
3.2834 6.5669 2.3238
0.0000 0.0000 0.0000
3.2834 3.2834 0.0000
3.2834 3.2834 2.2215
6.5669 6.5669 2.4261
1.7156 1.7156 0.0000
4.8513 4.8513 0.0000
4.8513 1.7156 0.0000
1.7156 4.8513 0.0000
```

- Energy: -4.809 eV per atom
- Symmetry: Fm-3m, No. 225
- Formation energy without anion corrections: -2.805 eV per atom